SnO, relaxed, DFT PBE; calculated total energy = -5.36 eV/atom; formation energy from raw total energies = -0.88 eV/atom; symmetry = P6_3mc, No. 186
1.0
4.149 0.000 0.000
-2.075 3.593 0.000
0.000 0.000 5.524
Sn O
2 2
Direct
0.333 0.667 0.000
0.667 0.333 0.500
0.333 0.667 0.599
0.667 0.333 0.099